1.
Compound: Mg2VZn2
Source: Alexandria
Functional: GGA-PBE
Structure: relaxed

Summary:
energy of formation from the pure elements = 0.200 eV per atom
symmetry = No. 127

Cell: 7.400 7.400 3.255 Å, 90.00 90.00 90.00°
Site moments in Bohr magnetons follow the coordinates.
Fractional coordinates of all 10 atoms:
Zn  0.375  0.875  0.000  -0.01
Zn  0.875  0.625  0.000  -0.01
Zn  0.625  0.125  0.000  -0.01
Zn  0.125  0.375  0.000  -0.01
Mg  0.175  0.675  0.500  -0.01
Mg  0.675  0.825  0.500  -0.01
Mg  0.825  0.325  0.500  -0.01
Mg  0.325  0.175  0.500  -0.01
V  0.000  0.000  0.000  2.51
V  0.500  0.500  0.000  2.51

***

2.
Compound: MgVZn3
Source: Alexandria
Functional: GGA-PBE
Structure: relaxed

Summary:
energy of formation from the pure elements = 0.711 eV per atom
symmetry = No. 221
energy above the most stable polymorph in this dataset = 0 meV/atom

Cell: 4.863 4.863 4.863 Å, 90.00 90.00 90.00°
Site moments in Bohr magnetons follow the coordinates.
Fractional coordinates of all 5 atoms:
Zn  0.000  0.500  0.000  0.09
Zn  0.000  0.000  0.500  0.09
Zn  0.500  0.000  0.000  0.09
Mg  0.500  0.500  0.500  -0.04
V  0.000  0.000  0.000  2.50

***

Results for calculated total energy: -2.771 -2.196 (in eV/atom, following the order of the records).